Record 1
This record from the Alexandria database describes a geometry-optimized LaSc2Cl structure. The functional is PBE.

Lattice parameters (Å, degrees): 5.845 5.845 5.845 132.75 132.75 69.05
Fractional positions:
La 0.000 0.000 0.000
Sc 0.250 0.750 0.500
Sc 0.500 0.500 0.000
Cl 0.750 0.250 0.500

## Properties
- size of the total moment (μB per formula unit) = 0.1
- space group = No. 119
- crystal system = tetragonal
- density of states at the Fermi level (states/eV per atom) = 1.89
- energy above the most stable polymorph in this dataset (meV per atom) = 520

***

Record 2
This record from the Alexandria database describes a geometry-optimized LaSc4Cl structure. The functional is PBE.

Lattice parameters (Å, degrees): 6.274 6.274 6.274 60.00 60.00 60.00
Fractional positions:
La 0.000 0.000 0.000
Sc 0.116 0.628 0.628
Sc 0.628 0.116 0.628
Sc 0.628 0.628 0.116
Sc 0.628 0.628 0.628
Cl 0.250 0.250 0.250

## Properties
- size of the total moment (μB per formula unit) = 2.5
- space group = No. 216
- crystal system = cubic
- density of states at the Fermi level (states/eV per atom) = 1.44

***

Record 3
This record from the Alexandria database describes a geometry-optimized LaSc2Cl structure. The functional is PBE.

Lattice parameters (Å, degrees): 6.134 6.134 3.378 90.00 90.00 121.45
Fractional positions:
La 0.000 0.000 0.000
Sc 0.000 0.500 0.500
Sc 0.500 0.000 0.500
Cl 0.500 0.500 0.000

## Properties
- size of the total moment (μB per formula unit) = 1.2
- space group = No. 65
- crystal system = orthorhombic
- density of states at the Fermi level (states/eV per atom) = 1.47
- energy above the most stable polymorph in this dataset (meV per atom) = 432

***

Record 4
This record from the Alexandria database describes a geometry-optimized LaSc3Cl structure. The functional is PBE.

Lattice parameters (Å, degrees): 5.023 5.023 5.023 90.00 90.00 90.00
Fractional positions:
La 0.000 0.000 0.000
Sc 0.000 0.500 0.500
Sc 0.500 0.000 0.500
Sc 0.500 0.500 0.000
Cl 0.500 0.500 0.500

## Properties
- size of the total moment (μB per formula unit) = 0.0
- space group = No. 221
- crystal system = cubic
- density of states at the Fermi level (states/eV per atom) = 1.47
- energy above the most stable polymorph in this dataset (meV per atom) = 0

***

Record 5
This record from the Alexandria database describes a geometry-optimized LaSc2Cl structure. The functional is PBE.

Lattice parameters (Å, degrees): 4.169 4.169 6.514 90.00 90.00 90.00
Fractional positions:
La 0.000 0.000 0.000
Sc 0.000 0.500 0.500
Sc 0.500 0.000 0.500
Cl 0.500 0.500 0.000

## Properties
- size of the total moment (μB per formula unit) = 2.3
- space group = No. 123
- crystal system = tetragonal
- density of states at the Fermi level (states/eV per atom) = 1.69
- energy above the most stable polymorph in this dataset (meV per atom) = 379

***

Record 6
This record from the Alexandria database describes a geometry-optimized LaSc2Cl structure. The functional is PBE.

Lattice parameters (Å, degrees): 5.511 5.511 3.401 90.00 90.00 90.00
Fractional positions:
La 0.000 0.000 0.000
Sc 0.000 0.500 0.500
Sc 0.500 0.000 0.500
Cl 0.500 0.500 0.000

## Properties
- size of the total moment (μB per formula unit) = 0.0
- space group = No. 123
- crystal system = tetragonal
- density of states at the Fermi level (states/eV per atom) = 1.52
- energy above the most stable polymorph in this dataset (meV per atom) = 497

***

Record 7
This record from the Alexandria database describes a geometry-optimized LaSc2Cl structure. The functional is PBE.

Lattice parameters (Å, degrees): 3.380 3.380 9.890 90.00 90.00 113.57
Fractional positions:
La 0.000 0.000 0.000
Sc 0.000 0.000 0.462
Sc 0.500 0.500 0.707
Cl 0.500 0.500 0.264

## Properties
- size of the total moment (μB per formula unit) = 0.0
- space group = No. 35
- crystal system = orthorhombic
- density of states at the Fermi level (states/eV per atom) = 1.57
- energy above the most stable polymorph in this dataset (meV per atom) = 32

***

Record 8
This record from the Alexandria database describes a geometry-optimized LaSc3Cl structure. The functional is PBE.

Lattice parameters (Å, degrees): 5.437 5.437 5.437 90.00 90.00 90.00
Fractional positions:
La 0.000 0.000 0.000
Sc 0.000 0.000 0.500
Sc 0.000 0.500 0.000
Sc 0.500 0.000 0.000
Cl 0.500 0.500 0.500

## Properties
- size of the total moment (μB per formula unit) = 0.0
- space group = No. 221
- crystal system = cubic
- density of states at the Fermi level (states/eV per atom) = 1.03
- energy above the most stable polymorph in this dataset (meV per atom) = 1251

***

Record 9
This record from the Alexandria database describes a geometry-optimized La2Sc2Cl structure. The functional is PBE.

Lattice parameters (Å, degrees): 9.420 9.420 9.420 154.31 154.31 36.65
Fractional positions:
La 0.250 0.750 0.500
La 0.750 0.250 0.500
Sc 0.094 0.094 0.000
Sc 0.906 0.906 0.000
Cl 0.500 0.500 0.000

## Properties
- size of the total moment (μB per formula unit) = 0.0
- space group = No. 139
- crystal system = tetragonal
- density of states at the Fermi level (states/eV per atom) = 2.69
- energy above the most stable polymorph in this dataset (meV per atom) = 356

***

Record 10
This record from the Alexandria database describes a geometry-optimized LaSc2Cl structure. The functional is PBE.

Lattice parameters (Å, degrees): 3.420 3.420 9.813 90.00 90.00 118.41
Fractional positions:
La 0.000 0.000 0.000
Sc 0.500 0.500 0.285
Sc 0.500 0.500 0.715
Cl 0.000 0.000 0.500

## Properties
- size of the total moment (μB per formula unit) = 0.0
- space group = No. 65
- crystal system = orthorhombic
- density of states at the Fermi level (states/eV per atom) = 1.57
- energy above the most stable polymorph in this dataset (meV per atom) = 115

***

Record 11
This record from the Alexandria database describes a geometry-optimized LaScCl structure. The functional is PBE.

Lattice parameters (Å, degrees): 3.802 3.803 15.250 84.31 83.03 60.02
Fractional positions:
La 0.000 0.000 0.000
La 0.471 0.563 0.507
Sc 0.206 0.266 0.330
Sc 0.598 0.630 0.178
Cl 0.382 0.359 0.874
Cl 0.757 0.871 0.633

## Properties
- size of the total moment (μB per formula unit) = 0.3
- space group = No. 1
- crystal system = triclinic
- density of states at the Fermi level (states/eV per atom) = 0.75
- energy above the most stable polymorph in this dataset (meV per atom) = 3

***

Record 12
This record from the Alexandria database describes a geometry-optimized LaSc2Cl structure. The functional is PBE.

Lattice parameters (Å, degrees): 3.372 3.372 9.045 90.00 90.00 90.00
Fractional positions:
La 0.000 0.000 0.000
Sc 0.500 0.500 0.273
Sc 0.500 0.500 0.727
Cl 0.000 0.000 0.500

## Properties
- size of the total moment (μB per formula unit) = 0.0
- space group = No. 123
- crystal system = tetragonal
- density of states at the Fermi level (states/eV per atom) = 1.13
- energy above the most stable polymorph in this dataset (meV per atom) = 198

***

Record 13
This record from the Alexandria database describes a geometry-optimized La2Sc2Cl structure. The functional is PBE.

Lattice parameters (Å, degrees): 9.121 9.121 3.624 90.00 90.00 90.00
Fractional positions:
La 0.194 0.306 0.000
La 0.306 0.806 0.000
La 0.694 0.194 0.000
La 0.806 0.694 0.000
Sc 0.107 0.607 0.500
Sc 0.393 0.107 0.500
Sc 0.607 0.893 0.500
Sc 0.893 0.393 0.500
Cl 0.000 0.000 0.500
Cl 0.500 0.500 0.500

## Properties
- size of the total moment (μB per formula unit) = 0.0
- space group = No. 127
- crystal system = tetragonal
- density of states at the Fermi level (states/eV per atom) = 0.65
- energy above the most stable polymorph in this dataset (meV per atom) = 0

***

Record 14
This record from the Alexandria database describes a geometry-optimized LaSc2Cl structure. The functional is PBE.

Lattice parameters (Å, degrees): 3.419 5.708 5.824 90.00 90.00 90.00
Fractional positions:
La 0.000 0.000 0.000
Sc 0.500 0.500 0.236
Sc 0.500 0.500 0.764
Cl 0.000 0.000 0.500

## Properties
- size of the total moment (μB per formula unit) = 0.0
- space group = No. 47
- crystal system = orthorhombic
- density of states at the Fermi level (states/eV per atom) = 1.65
- energy above the most stable polymorph in this dataset (meV per atom) = 427

***

no.,uncorrected formation energy (kJ/mol of formula units)
1,-16
2,148
3,-50
4,-170
5,-70
6,-24
7,-204
8,434
9,183
10,-172
11,-247
12,-140
13,11
14,-51